No. 1
Density functional theory data (PBE-GGA) for a geometry-optimized Ti6GaSb3 structure.

Geometry as POSCAR:
```
Ti6GaSb3
1.0
4.267 -6.722 0.000
4.267 6.722 0.000
0.000 0.000 6.896
Ti Ga Sb
12 2 6
Direct
0.011 0.443 0.007
0.054 0.946 0.500
0.227 0.381 0.306
0.263 0.737 0.239
0.381 0.227 0.806
0.443 0.011 0.507
0.557 0.989 0.007
0.619 0.773 0.306
0.737 0.263 0.739
0.773 0.619 0.806
0.946 0.054 0.000
0.989 0.557 0.507
0.182 0.818 0.799
0.818 0.182 0.299
0.094 0.297 0.672
0.297 0.094 0.172
0.422 0.578 0.977
0.578 0.422 0.477
0.703 0.906 0.672
0.906 0.703 0.172
```

* total magnetic moment: 0.000 μB per formula unit
* formation energy without anion corrections: -0.2682 eV/atom

***

No. 2
Density functional theory data (PBE-GGA) for a geometry-optimized TiGaSb structure.

Geometry as POSCAR:
```
TiGaSb
1.0
-1.774 1.774 10.125
1.774 -1.774 10.125
1.774 1.774 -10.125
Ti Ga Sb
2 2 2
Direct
0.139 0.139 0.000
0.861 0.861 0.000
0.279 0.279 0.000
0.721 0.721 0.000
0.425 0.425 0.000
0.575 0.575 0.000
```

* total magnetic moment: 0.890 μB per formula unit
* E above lowest polymorph: 0.50 eV per formula unit
* formation energy without anion corrections: -0.1565 eV/atom

***

No. 3
Density functional theory data (PBE-GGA) for a geometry-optimized Ti10Ga3Sb3 structure.

Geometry as POSCAR:
```
Ti10Ga3Sb3
1.0
7.845 0.000 0.000
-3.922 6.794 0.000
0.000 0.000 5.332
Ti Ga Sb
10 3 3
Direct
0.000 0.250 0.000
0.000 0.761 0.500
0.239 0.239 0.500
0.250 0.000 0.000
0.333 0.667 0.240
0.333 0.667 0.760
0.667 0.333 0.240
0.667 0.333 0.760
0.750 0.750 0.000
0.761 0.000 0.500
0.000 0.614 0.000
0.386 0.386 0.000
0.614 0.000 0.000
0.000 0.398 0.500
0.398 0.000 0.500
0.602 0.602 0.500
```

* total magnetic moment: 0.000 μB per formula unit
* formation energy without anion corrections: -0.4774 eV/atom

***

No. 4
Density functional theory data (PBE-GGA) for a geometry-optimized Ti6Ga2Sb structure.

Geometry as POSCAR:
```
Ti6Ga2Sb
1.0
-4.036 4.080 4.806
4.036 -4.080 4.806
4.036 4.080 -4.806
Ti Ga Sb
12 4 2
Direct
0.040 0.825 0.215
0.252 0.554 0.302
0.252 0.949 0.698
0.299 0.291 0.590
0.299 0.709 0.008
0.390 0.175 0.215
0.610 0.825 0.785
0.701 0.291 0.992
0.701 0.709 0.410
0.748 0.051 0.302
0.748 0.446 0.698
0.960 0.175 0.785
0.000 0.154 0.154
0.000 0.846 0.846
0.371 0.371 0.000
0.629 0.629 0.000
0.000 0.500 0.500
0.500 0.000 0.500
```

* total magnetic moment: 0.000 μB per formula unit
* formation energy without anion corrections: -0.3000 eV/atom

***

Q: What is the formula in the fourth record?
A: Ti6Ga2Sb

***

Q: The lowest formation energy without anion corrections belongs to which entry?
A: Ti10Ga3Sb3

***

Q: Number 2 is which compound?
A: TiGaSb